# 1
Below is a relaxed structure of LaZn2MoF, with properties calculated at the PBEsol level.

## Properties
E_tot in Ry/atom: -0.3460
Energy relative to the elements, uncorrected in meV/atom: -266
DOS at the Fermi energy in states/eV per cell: 3.71
Spin magnetization in μB/cell: 0.00

Cell: 4.927 4.927 4.081 Å, 90.00 90.00 90.00°
Space group P4/mmm (No. 123)
Inequivalent atoms, fractional coordinates:
La: 0.000 0.000 0.000 [1 per cell]
Zn: 0.000 0.500 0.500 [2 per cell]
Mo: 0.500 0.500 0.500 [1 per cell]
F: 0.500 0.500 0.000 [1 per cell]

---

# 2
Below is a relaxed structure of Li5In4, with properties calculated at the PBEsol level.

## Properties
Energy above the lowest structure with this stoichiometry in meV per atom: 93.1
E_tot in Ry/atom: -0.1951
DOS at the Fermi energy in states/eV per cell: 7.30
Formation energy from the elements in meV per atom: -236
Spin magnetization in μB/cell: 0.00

Cell: 8.2847 8.2847 5.8359 Å, 90.00 90.00 120.00°
Space group P6_3/mcm (No. 193)
Inequivalent atoms, fractional coordinates:
Li: 0.0000 0.3129 0.2500 [6 per cell]
Li: 0.3333 0.6667 0.0000 [4 per cell]
In: 0.0000 0.0000 0.0000 [2 per cell]
In: 0.0000 0.3571 0.7500 [6 per cell]

---

# 3
Below is a relaxed structure of KReAu2, with properties calculated at the PBEsol level.

## Properties
Energy above the lowest structure with this stoichiometry in meV per atom: 64.1
E_tot in Ry/atom: -0.3585
DOS at the Fermi energy in states/eV per cell: 2.77
Formation energy from the elements in meV per atom: 700
Spin magnetization in μB/cell: 0.63

Cell: 2.657 4.692 7.063 Å, 90.00 90.00 90.00°
Space group Pmm2 (No. 25)
Inequivalent atoms, fractional coordinates:
K: 0.000 0.000 0.000 [1 per cell]
Re: 0.500 0.500 0.376 [1 per cell]
Au: 0.000 0.000 0.439 [1 per cell]
Au: 0.500 0.500 0.743 [1 per cell]

---

# 4
Below is a relaxed structure of In5Cu24, with properties calculated at the PBEsol level.

## Properties
E_tot in Ry/atom: -0.2981
DOS at the Fermi energy in states/eV per cell: 20.03
Formation energy from the elements in meV per atom: 46
Spin magnetization in μB/cell: 0.00

Cell: 9.080 9.080 9.080 Å, 90.00 90.00 90.00°
Space group I-43m (No. 217)
Inequivalent atoms, fractional coordinates:
In: 0.000 0.000 0.000 [2 per cell]
In: 0.189 0.189 0.811 [8 per cell]
Cu: 0.039 0.365 0.365 [24 per cell]
Cu: 0.093 0.093 0.285 [24 per cell]

---

# 5
Below is a relaxed structure of Tl2HgPb, with properties calculated at the PBEsol level.

## Properties
E_tot in Ry/atom: -0.1799
DOS at the Fermi energy in states/eV per cell: 8.15
Formation energy from the elements in meV per atom: 8
Spin magnetization in μB/cell: 0.00

Cell: 7.587 7.587 7.587 Å, 90.00 90.00 90.00°
Space group F-43m (No. 216)
Inequivalent atoms, fractional coordinates:
Tl: 0.000 0.000 0.000 [4 per cell]
Tl: 0.250 0.250 0.250 [4 per cell]
Hg: 0.250 0.250 0.750 [4 per cell]
Pb: 0.000 0.000 0.500 [4 per cell]

---

# 6
Below is a relaxed structure of BeRe5, with properties calculated at the PBEsol level.

## Properties
E_tot in Ry/atom: -0.8579
DOS at the Fermi energy in states/eV per cell: 6.74
Formation energy from the elements in meV per atom: 104
Spin magnetization in μB/cell: 0.00

Cell: 4.242 9.239 4.236 Å, 90.00 90.00 90.00°
Space group Cmmm (No. 65)
Inequivalent atoms, fractional coordinates:
Be: 0.000 0.000 0.000 [2 per cell]
Re: 0.000 0.161 0.500 [4 per cell]
Re: 0.000 0.336 0.000 [4 per cell]
Re: 0.000 0.500 0.500 [2 per cell]

---

# 7
Below is a relaxed structure of PdSeSBr2, with properties calculated at the PBEsol level.

## Properties
E_tot in Ry/atom: -0.2132
Energy relative to the elements, uncorrected in meV/atom: 686
DOS at the Fermi energy in states/eV per cell: 5.92
Spin magnetization in μB/cell: 0.83

Cell: 4.875 4.875 4.903 Å, 90.00 90.00 90.00°
Space group P4/mmm (No. 123)
Inequivalent atoms, fractional coordinates:
Pd: 0.000 0.000 0.000 [1 per cell]
Se: 0.500 0.500 0.000 [1 per cell]
S: 0.500 0.500 0.500 [1 per cell]
Br: 0.000 0.500 0.500 [2 per cell]

---

# 8
Below is a relaxed structure of BaMgMo, with properties calculated at the PBEsol level.

## Properties
E_tot in Ry/atom: -0.2749
DOS at the Fermi energy in states/eV per cell: 15.02
Formation energy from the elements in meV per atom: 1471
Spin magnetization in μB/cell: 14.21

Cell: 7.326 7.326 7.326 Å, 90.00 90.00 90.00°
Space group F-43m (No. 216)
Inequivalent atoms, fractional coordinates:
Ba: 0.000 0.000 0.000 [4 per cell]
Mg: 0.250 0.250 0.750 [4 per cell]
Mo: 0.000 0.000 0.500 [4 per cell]